Density functional theory data (PBE) for crystalline Sm2Zn3Hg2 at its relaxed geometry.

Properties
- total magnetization (μB per cell) = 0.0
- density of states at the Fermi level (states/eV per cell) = 4.4
- volume (Å³ per cell) = 155.27
- energy of formation (kJ/mol of formula units) = -242

Unit cell a=5.8558 b=5.8558 c=6.7326 alpha=109.59 beta=109.59 gamma=46.25
Sites, in units of the cell vectors:
1 Sm 0.1479 0.1479 0.2654
2 Sm 0.8521 0.8521 0.7346
3 Zn 0.4166 0.4166 0.0876
4 Zn 0.5000 0.5000 0.5000
5 Zn 0.5834 0.5834 0.9124
6 Hg 0.1570 0.1570 0.7518
7 Hg 0.8430 0.8430 0.2482